Record 1
Here is Mn2ICl after structural relaxation from Alexandria. Energies are from GGA-PBE.

The space group is I-42d (No. 122) and the conventional cell measures 5.197, 5.197 and 11.350 Å, with angles of 90.00, 90.00 and 90.00 degrees. Symmetry generates all atoms from Mn at (0.182, 0.250, 0.125), I at (0.000, 0.000, 0.500) and Cl at (0.000, 0.000, 0.000).

For the raw formation energy, the calculation gives 2.906 eV/f.u. As for the final energy: -4.7075 eV per atom. The excess energy over the best structure of this formula in the dataset is 0 meV/atom.

***

Record 2
Here is CoCu2Au after structural relaxation from Alexandria. Energies are from GGA-PBE.

The space group is Pmmm (No. 47) and the conventional cell measures 2.714, 3.552 and 5.543 Å, with angles of 90.00, 90.00 and 90.00 degrees. Symmetry generates all atoms from Co at (0.000, 0.000, 0.000), Cu at (0.500, 0.500, 0.224) and Au at (0.000, 0.000, 0.500).

As for the final energy: -4.5024 eV per atom. As for the formation energy: 141 meV/atom.

***

Record 3
Here is Rb2CuGeB after structural relaxation from Alexandria. Energies are from GGA-PBE.

The space group is P4/mmm (No. 123) and the conventional cell measures 6.579, 6.579 and 3.735 Å, with angles of 90.00, 90.00 and 90.00 degrees. Symmetry generates all atoms from Rb at (0.000, 0.500, 0.000), Cu at (0.000, 0.000, 0.500), Ge at (0.500, 0.500, 0.500) and B at (0.500, 0.500, 0.000).

As for the final energy: -2.9304 eV per atom. As for the formation energy: 535 meV/atom.

***

Record 4
Here is Tl3AuC after structural relaxation from Alexandria. Energies are from GGA-PBE.

The space group is Pm-3m (No. 221) and the conventional cell measures 4.989, 4.989 and 4.989 Å, with angles of 90.00, 90.00 and 90.00 degrees. Symmetry generates all atoms from Tl at (0.000, 0.000, 0.500), Au at (0.500, 0.500, 0.500) and C at (0.000, 0.000, 0.000).

As for the final energy: -3.0036 eV per atom. The excess energy over the best structure of this formula in the dataset is 0 meV/atom. As for the formation energy: 916 meV/atom.

***

Record 5
Here is Cd2AuBr after structural relaxation from Alexandria. Energies are from GGA-PBE.

The space group is P4/mmm (No. 123) and the conventional cell measures 5.390, 5.390 and 3.145 Å, with angles of 90.00, 90.00 and 90.00 degrees. Symmetry generates all atoms from Cd at (0.000, 0.500, 0.000), Au at (0.000, 0.000, 0.500) and Br at (0.500, 0.500, 0.500).

For the raw formation energy, the calculation gives -0.234 eV/f.u. As for the final energy: -1.7535 eV per atom. The excess energy over the best structure of this formula in the dataset is 194 meV/atom.

***

Record 6
Here is SrGa2Ir2 after structural relaxation from Alexandria. Energies are from GGA-PBE.

The space group is P4/mbm (No. 127) and the conventional cell measures 7.730, 7.730 and 2.943 Å, with angles of 90.00, 90.00 and 90.00 degrees. Symmetry generates all atoms from Sr at (0.000, 0.000, 0.000), Ga at (0.147, 0.353, 0.500) and Ir at (0.143, 0.643, 0.000).

As for the final energy: -5.4380 eV per atom. As for the formation energy: -346 meV/atom.

***

Copy entry 4 word for word.
Here is Tl3AuC after structural relaxation from Alexandria. Energies are from GGA-PBE.

The space group is Pm-3m (No. 221) and the conventional cell measures 4.989, 4.989 and 4.989 Å, with angles of 90.00, 90.00 and 90.00 degrees. Symmetry generates all atoms from Tl at (0.000, 0.000, 0.500), Au at (0.500, 0.500, 0.500) and C at (0.000, 0.000, 0.000).

As for the final energy: -3.0036 eV per atom. The excess energy over the best structure of this formula in the dataset is 0 meV/atom. As for the formation energy: 916 meV/atom.